# 1
Entry from Alexandria via LeMat-Bulk: a geometry-optimized Dy2RuAuC structure (PBE-GGA).

a b c (Å): 4.990 4.990 3.876
angles (deg): 90.00 90.00 90.00
Space group P4/mmm (No. 123)
Unique sites:
Dy: 0.000 0.500 0.000 x2
Ru: 0.000 0.000 0.500 x1
Au: 0.500 0.500 0.500 x1
C: 0.000 0.000 0.000 x1

Calculated values
Total energy = -6.76 eV/atom
ΔE_f = -565 meV/atom
Total magnetic moment = 0.0 μB per cell

***

# 2
Entry from Alexandria via LeMat-Bulk: a geometry-optimized DySc2AuC structure (PBE-GGA).

a b c (Å): 4.453 4.453 4.966
angles (deg): 90.00 90.00 90.00
Space group P4mm (No. 99)
Unique sites:
Dy: 0.000 0.000 0.000 x1
Sc: 0.000 0.500 0.500 x2
Au: 0.500 0.500 0.999 x1
C: 0.000 0.000 0.500 x1

Calculated values
Total energy = -6.53 eV/atom
ΔE_f = -573 meV/atom
Total magnetic moment = 0.0 μB per cell

***

# 3
Entry from Alexandria via LeMat-Bulk: a geometry-optimized Dy4SnAuC structure (PBE-GGA).

a b c (Å): 6.875 14.952 6.875
angles (deg): 90.00 90.00 90.00
Space group Cmcm (No. 63)
Unique sites:
Dy: 0.000 0.077 0.250 x4
Dy: 0.000 0.412 0.250 x4
Dy: 0.250 0.250 0.000 x8
Sn: 0.000 0.384 0.750 x4
Au: 0.000 0.119 0.750 x4
C: 0.000 0.249 0.250 x4

Calculated values
Total energy = -5.55 eV/atom
ΔE_f = -559 meV/atom
Total magnetic moment = 0.0 μB per cell